A relaxed structure of BaMnZn4. Source: the Alexandria database, functional PBE-GGA.

Calculated values
Formation enthalpy at 0 K: 0.113 eV per atom
N(E_F): 2.1 states/eV/f.u.

```
data_BaMnZn4
_chemical_formula_sum 'Ba1 Mn1 Zn4'
_symmetry_space_group_name_H-M 'P 1'
_symmetry_Int_Tables_number 1
_cell_length_a 5.532
_cell_length_b 5.532
_cell_length_c 5.532
_cell_angle_alpha 60.00
_cell_angle_beta 60.00
_cell_angle_gamma 60.00
loop_
_symmetry_equiv_pos_as_xyz
'x,y,z'
loop_
_atom_site_label
_atom_site_type_symbol
_atom_site_fract_x
_atom_site_fract_y
_atom_site_fract_z
_atom_site_occupancy
Ba1 Ba 0.750 0.750 0.750 1
Mn1 Mn 0.000 0.000 0.000 1
Zn1 Zn 0.883 0.372 0.372 1
Zn2 Zn 0.372 0.372 0.883 1
Zn3 Zn 0.372 0.883 0.372 1
Zn4 Zn 0.372 0.372 0.372 1
```